[1]
Zr2Bi2C: relaxed, PBE.

Cell: 3.4137 3.4143 12.1357 Å, 82.83 81.91 60.01°
Sites, in units of the cell vectors:
C  0.0000  0.5000  0.5000
Zr  0.7048  0.1933  0.3972
Zr  0.2952  0.8067  0.6028
Bi  0.5481  0.0843  0.8196
Bi  0.4519  0.9157  0.1804

Properties
energy of formation from the pure elements: -0.5664 eV/atom
calculated volume: 121 Å³/cell
space group: C2/m (12)

[2]
V5W: relaxed, PBE.

Cell: 5.0234 5.3011 7.8805 Å, 70.23 100.07 122.00°
Sites, in units of the cell vectors:
V  0.2494  0.4998  0.7500
W  0.7504  0.0002  0.2500
V  0.7506  0.5002  0.2500
V  0.2504  0.9993  0.0831
V  0.7496  0.4957  0.5831
V  0.2501  0.0008  0.4169
V  0.7496  0.0007  0.9169
V  0.2503  0.4961  0.0831
V  0.7499  0.9992  0.5831
V  0.2504  0.5043  0.4169
V  0.7497  0.5039  0.9169
W  0.2496  0.9998  0.7500

Properties
energy of formation from the pure elements: -0.0261 eV/atom
distance to the lowest polymorph of the same formula: 3 meV per atom
calculated volume: 167 Å³/cell
space group: P-1 (2)

> The lowest calculated volume belongs to which entry?

Zr2Bi2C

Please write out number 1 again, unchanged.
Zr2Bi2C: relaxed, PBE.

Cell: 3.4137 3.4143 12.1357 Å, 82.83 81.91 60.01°
Sites, in units of the cell vectors:
C  0.0000  0.5000  0.5000
Zr  0.7048  0.1933  0.3972
Zr  0.2952  0.8067  0.6028
Bi  0.5481  0.0843  0.8196
Bi  0.4519  0.9157  0.1804

Properties
energy of formation from the pure elements: -0.5664 eV/atom
calculated volume: 121 Å³/cell
space group: C2/m (12)

> Look up the energy of formation from the pure elements of the second one.

-0.0261 eV/atom